A relaxed Hf3ZrPt crystal, computed with PBE-GGA.

Output
V: 128.2 Å³ per cell
Formation energy: 26.1 kJ/mol of atoms
DOS at the Fermi energy: 4.3 states/eV per cell
Distance to the lowest polymorph of the same formula: 645 meV/atom

```
5
Lattice="5.0429 0.0000 0.0000 0.0000 5.0429 0.0000 0.0000 0.0000 5.0429" Properties=species:S:1:pos:R:3 pbc="T T T"
Hf 0.0000 0.0000 2.5214
Hf 0.0000 2.5214 0.0000
Hf 2.5214 0.0000 0.0000
Zr 2.5214 2.5214 2.5214
Pt 0.0000 0.0000 0.0000
```